1.
An optimized crystal structure of CePm4Tl5. Source: Alexandria, functional PBE.

Calculated values
Total magnetic moment   1.341 μB/f.u.
Formation energy   -8.2 kcal/mol of atoms

abc: 3.706 3.706 21.296
angles: 90.00 90.00 90.00
Atoms (fractional coordinates):
Ce 0.000 0.000 0.000
Pm 0.000 0.000 0.202
Pm 0.000 0.000 0.401
Pm 0.000 0.000 0.599
Pm 0.000 0.000 0.798
Tl 0.500 0.500 0.101
Tl 0.500 0.500 0.301
Tl 0.500 0.500 0.500
Tl 0.500 0.500 0.699
Tl 0.500 0.500 0.899



2.
An optimized crystal structure of KSb2P. Source: Alexandria, functional PBE.

Calculated values
E_form (uncorrected)   -6 kJ/mol of formula units
Total magnetic moment   0.000 μB/f.u.

abc: 7.999 7.999 8.567
angles: 90.00 90.00 90.00
Atoms (fractional coordinates):
K 0.000 0.000 0.000
K 0.000 0.500 0.250
K 0.500 0.000 0.750
K 0.500 0.500 0.500
Sb 0.151 0.250 0.625
Sb 0.250 0.651 0.875
Sb 0.250 0.849 0.375
Sb 0.349 0.250 0.125
Sb 0.651 0.750 0.125
Sb 0.750 0.151 0.375
Sb 0.750 0.349 0.875
Sb 0.849 0.750 0.625
P 0.000 0.000 0.500
P 0.000 0.500 0.750
P 0.500 0.000 0.250
P 0.500 0.500 0.000



3.
An optimized crystal structure of Pm3InCo. Source: Alexandria, functional PBE.

Calculated values
Polymorph energy (0 for the lowest one)   48 meV per atom
Total magnetic moment   0.000 μB/f.u.
Formation energy   -3.6 kcal/mol of atoms

abc: 5.248 5.248 5.248
angles: 90.00 90.00 90.00
Atoms (fractional coordinates):
Pm 0.000 0.000 0.500
Pm 0.000 0.500 0.000
Pm 0.500 0.000 0.000
In 0.500 0.500 0.500
Co 0.000 0.000 0.000